DFT (PBE) results for a relaxed structure of Ac3Nb5N12.

Output
* M_tot: 0.04 Bohr magnetons per cell
* density: 7.10 Mg/m³
* E_form (uncorrected): -884 meV/atom

a = 11.686 Å, b = 11.686 Å, c = 11.686 Å
α = 109.47°, β = 109.47°, γ = 109.47°
Atoms (fractional coordinates):
1 Ac 0.125 0.250 0.375
2 Ac 0.125 0.375 0.750
3 Ac 0.250 0.375 0.125
4 Ac 0.250 0.875 0.625
5 Ac 0.375 0.125 0.250
6 Ac 0.375 0.750 0.125
7 Ac 0.625 0.250 0.875
8 Ac 0.625 0.875 0.750
9 Ac 0.750 0.125 0.375
10 Ac 0.750 0.625 0.875
11 Ac 0.875 0.625 0.250
12 Ac 0.875 0.750 0.625
13 Nb 0.000 0.000 0.000
14 Nb 0.000 0.000 0.500
15 Nb 0.000 0.500 0.000
16 Nb 0.000 0.500 0.500
17 Nb 0.125 0.750 0.875
18 Nb 0.125 0.875 0.250
19 Nb 0.250 0.125 0.875
20 Nb 0.250 0.625 0.375
21 Nb 0.375 0.250 0.625
22 Nb 0.375 0.625 0.750
23 Nb 0.500 0.000 0.000
24 Nb 0.500 0.000 0.500
25 Nb 0.500 0.500 0.000
26 Nb 0.500 0.500 0.500
27 Nb 0.625 0.375 0.250
28 Nb 0.625 0.750 0.375
29 Nb 0.750 0.375 0.625
30 Nb 0.750 0.875 0.125
31 Nb 0.875 0.125 0.750
32 Nb 0.875 0.250 0.125
33 N 0.014 0.194 0.114
34 N 0.014 0.320 0.900
35 N 0.080 0.694 0.680
36 N 0.080 0.886 0.400
37 N 0.100 0.614 0.420
38 N 0.100 0.986 0.680
39 N 0.114 0.014 0.194
40 N 0.114 0.600 0.920
41 N 0.180 0.194 0.580
42 N 0.180 0.486 0.600
43 N 0.194 0.114 0.014
44 N 0.194 0.580 0.180
45 N 0.306 0.320 0.920
46 N 0.306 0.486 0.386
47 N 0.320 0.900 0.014
48 N 0.320 0.920 0.306
49 N 0.386 0.306 0.486
50 N 0.386 0.580 0.900
51 N 0.400 0.080 0.886
52 N 0.400 0.820 0.514
53 N 0.420 0.100 0.614
54 N 0.420 0.820 0.806
55 N 0.486 0.386 0.306
56 N 0.486 0.600 0.180
57 N 0.514 0.400 0.820
58 N 0.514 0.614 0.694
59 N 0.580 0.180 0.194
60 N 0.580 0.900 0.386
61 N 0.600 0.180 0.486
62 N 0.600 0.920 0.114
63 N 0.614 0.420 0.100
64 N 0.614 0.694 0.514
65 N 0.680 0.080 0.694
66 N 0.680 0.100 0.986
67 N 0.694 0.514 0.614
68 N 0.694 0.680 0.080
69 N 0.806 0.420 0.820
70 N 0.806 0.886 0.986
71 N 0.820 0.514 0.400
72 N 0.820 0.806 0.420
73 N 0.886 0.400 0.080
74 N 0.886 0.986 0.806
75 N 0.900 0.014 0.320
76 N 0.900 0.386 0.580
77 N 0.920 0.114 0.600
78 N 0.920 0.306 0.320
79 N 0.986 0.680 0.100
80 N 0.986 0.806 0.886



DFT (PBE) results for a relaxed structure of Ac4Nb3N10.

Output
* M_tot: 1.01 Bohr magnetons per cell
* density: 8.52 Mg/m³
* E_form (uncorrected): -945 meV/atom

a = 15.198 Å, b = 15.198 Å, c = 15.198 Å
α = 164.25°, β = 164.25°, γ = 22.34°
Atoms (fractional coordinates):
1 Ac 0.070 0.070 0.000
2 Ac 0.202 0.202 0.000
3 Ac 0.798 0.798 0.000
4 Ac 0.930 0.930 0.000
5 Nb 0.358 0.358 0.000
6 Nb 0.500 0.500 0.000
7 Nb 0.642 0.642 0.000
8 N 0.000 0.500 0.500
9 N 0.138 0.638 0.500
10 N 0.289 0.289 0.000
11 N 0.362 0.862 0.500
12 N 0.431 0.431 0.000
13 N 0.500 0.000 0.500
14 N 0.569 0.569 0.000
15 N 0.638 0.138 0.500
16 N 0.711 0.711 0.000
17 N 0.862 0.362 0.500



DFT (PBE) results for a relaxed structure of Ac2NbN7.

Output
* M_tot: 0.00 Bohr magnetons per cell
* density: 8.36 Mg/m³
* E_form (uncorrected): 441 meV/atom

a = 5.659 Å, b = 5.659 Å, c = 5.659 Å
α = 60.00°, β = 60.00°, γ = 60.00°
Atoms (fractional coordinates):
1 Ac 0.250 0.250 0.250
2 Ac 0.750 0.750 0.750
3 Nb 0.000 0.000 0.000
4 N 0.259 0.259 0.741
5 N 0.259 0.741 0.259
6 N 0.259 0.741 0.741
7 N 0.500 0.500 0.500
8 N 0.741 0.259 0.259
9 N 0.741 0.259 0.741
10 N 0.741 0.741 0.259